Entry 1:
# GGA-PBE Mg2ScW, optimized geometry
# Polymorph energy (0 for the lowest one) = 315.8 meV per atom
# Energy of formation = 2.02 eV/f.u.
# D(E_F) = 3.0 states/eV per cell
# Crystal system = tetragonal
data_Mg2ScW
_chemical_formula_sum 'Mg2 Sc1 W1'
_symmetry_space_group_name_H-M 'P 4/m m m'
_symmetry_Int_Tables_number 123
_symmetry_space_group_name_Hall '-P 4 2'
_cell_length_a 5.015
_cell_length_b 5.015
_cell_length_c 3.025
_cell_angle_alpha 90.00
_cell_angle_beta 90.00
_cell_angle_gamma 90.00
loop_
_atom_site_label
_atom_site_type_symbol
_atom_site_fract_x
_atom_site_fract_y
_atom_site_fract_z
Mg1 Mg 0.000 0.500 0.000
Sc1 Sc 0.000 0.000 0.500
W1 W 0.500 0.500 0.500

Entry 2:
# GGA-PBE ZnIrCl2, optimized geometry
# Polymorph energy (0 for the lowest one) = 198.2 meV per atom
# D(E_F) = 4.2 states/eV per cell
# Crystal system = orthorhombic
data_ZnIrCl2
_chemical_formula_sum 'Zn2 Ir2 Cl4'
_symmetry_space_group_name_H-M 'I m m m'
_symmetry_Int_Tables_number 71
_symmetry_space_group_name_Hall '-I 2 2'
_cell_length_a 3.156
_cell_length_b 4.333
_cell_length_c 13.809
_cell_angle_alpha 90.00
_cell_angle_beta 90.00
_cell_angle_gamma 90.00
loop_
_atom_site_label
_atom_site_type_symbol
_atom_site_fract_x
_atom_site_fract_y
_atom_site_fract_z
Zn1 Zn 0.000 0.000 0.000
Ir1 Ir 0.000 0.000 0.500
Cl1 Cl 0.000 0.500 0.136